The following is a DFT calculation (GGA-PBEsol) of Si2IrCl after structural relaxation.

Cell: 7.1463 7.1463 7.1463 Å, 29.61 29.61 29.61°
Positions (direct):
Si 0.1121 0.1121 0.1121
Si 0.8879 0.8879 0.8879
Ir 0.5000 0.5000 0.5000
Cl 0.0000 0.0000 0.0000

Properties
For the density, the calculation gives 5.974 g/cm³. The calculation puts the offset from the most stable computed form at 0.0 kJ/mol of atoms. For the energy relative to the elements, uncorrected, the calculation gives -0.376 eV/atom. The total magnetization is 0.00 μB/atom. The value obtained for the density of states at the Fermi level is 1.824 states/eV per cell.